No. 1
Crystalline MgPW at its relaxed geometry, computed with PBE.

Properties
- E_form: 19.94 kJ/mol of atoms
- Calculated volume: 50 Å³/cell

a b c (Å): 6.7288 6.5185 2.9000
angles (deg): 81.44 73.33 25.23
With the nearest neighbours (Å) after each atom.
Positions (direct):
W1 0.6825 0.6825 0.3175  2 P 2.40
P1 0.3192 0.3192 0.6808  2 W 2.40
Mg1 0.9983 0.9983 0.0017  2 P 2.81, 2 W 2.86, 4 Mg 2.90

=====

No. 2
Crystalline NbIr2Rh2 at its relaxed geometry, computed with PBE.

Properties
- E_form: -1.85 kJ/mol of atoms
- Calculated volume: 160 Å³/cell

a b c (Å): 6.7111 6.7111 3.5632
angles (deg): 90.00 90.00 90.00
With the nearest neighbours (Å) after each atom.
Positions (direct):
Rh1 0.3376 0.1624 0.5000  6 Ir 2.63-2.67
Ir1 0.1333 0.3667 0.0000  1 Ir 2.53, 2 Nb 2.62, 6 Rh 2.63-2.67
Nb1 0.5000 0.5000 0.0000  4 Ir 2.62
Rh2 0.8376 0.3376 0.5000  6 Ir 2.63-2.67
Nb2 0.0000 0.0000 0.0000  4 Ir 2.62
Rh3 0.6624 0.8376 0.5000  6 Ir 2.63-2.67
Ir2 0.3667 0.8667 0.0000  1 Ir 2.53, 2 Nb 2.62, 6 Rh 2.63-2.67
Ir3 0.6333 0.1333 0.0000  1 Ir 2.53, 2 Nb 2.62, 6 Rh 2.63-2.67
Ir4 0.8667 0.6333 0.0000  1 Ir 2.53, 2 Nb 2.62, 6 Rh 2.63-2.67
Rh4 0.1624 0.6624 0.5000  6 Ir 2.63-2.67

=====

No. 3
Crystalline HfMg4Sc5 at its relaxed geometry, computed with PBE.

Properties
- E_form: -2.28 kJ/mol of atoms
- Calculated volume: 233 Å³/cell

a b c (Å): 3.2825 3.2825 21.6680
angles (deg): 90.00 90.00 90.00
With the nearest neighbours (Å) after each atom.
Positions (direct):
Mg1 0.0000 0.0000 0.4013  8 Sc 3.15-3.16, 4 Mg 3.28
Sc1 0.5000 0.5000 0.9016  4 Hf 3.15, 4 Mg 3.25, 4 Sc 3.28
Mg2 0.0000 0.0000 0.2031  8 Sc 3.17-3.25, 4 Mg 3.28
Mg3 0.0000 0.0000 0.7969  8 Sc 3.17-3.25, 4 Mg 3.28
Hf1 0.0000 0.0000 0.0000  8 Sc 3.15, 4 Hf 3.28
Sc2 0.5000 0.5000 0.6972  8 Mg 3.15-3.17, 4 Sc 3.28
Sc3 0.5000 0.5000 0.0984  4 Hf 3.15, 4 Mg 3.25, 4 Sc 3.28
Sc4 0.5000 0.5000 0.5000  8 Mg 3.16, 4 Sc 3.28
Mg4 0.0000 0.0000 0.5987  8 Sc 3.15-3.16, 4 Mg 3.28
Sc5 0.5000 0.5000 0.3028  8 Mg 3.15-3.17, 4 Sc 3.28

=====

No. 4
Crystalline FeSbTe2 at its relaxed geometry, computed with PBE.

Properties
- E_form (uncorrected): 0.06 eV/atom
- Calculated volume: 99 Å³/cell

a b c (Å): 3.9233 5.5777 5.5780
angles (deg): 54.00 90.00 90.00
With the nearest neighbours (Å) after each atom.
Positions (direct):
Te1 0.0000 0.0031 0.0031  2 Fe 2.53
Sb1 0.5000 0.6691 0.6690  2 Fe 2.58
Te2 0.5000 0.3280 0.3280  2 Fe 2.60
Fe1 0.0000 0.4998 0.4999  4 Te 2.53-2.60, 2 Sb 2.58

=====

No. 5
Crystalline KInSe2Br at its relaxed geometry, computed with PBE.

Properties
- E_form (uncorrected): -0.58 eV/atom
- Calculated volume: 165 Å³/cell

a b c (Å): 5.3152 5.3152 5.8504
angles (deg): 90.00 90.00 90.00
With the nearest neighbours (Å) after each atom.
Positions (direct):
Br1 0.0000 0.0000 0.5000  2 In 2.93
Se1 0.0000 0.5000 0.0000  2 In 2.66
In1 0.0000 0.0000 0.0000  4 Se 2.66, 2 Br 2.93
Se2 0.5000 0.0000 0.0000  2 In 2.66
K1 0.5000 0.5000 0.5000  4 Br 3.76, 8 Se 3.95

=====

No. 6
Crystalline SiMoP at its relaxed geometry, computed with PBE.

Properties
- E_form (uncorrected): -0.31 eV/atom
- Calculated volume: 41 Å³/cell

a b c (Å): 4.5883 4.5883 4.5883
angles (deg): 139.30 139.30 58.91
With the nearest neighbours (Å) after each atom.
Positions (direct):
Mo1 0.9997 0.9997 0.0000  5 P 2.63-2.65, 5 Si 2.63-2.64
P1 0.3315 0.3315 0.0000  5 Si 2.60-2.70, 5 Mo 2.63-2.65
Si1 0.6688 0.6688 0.0000  5 P 2.60-2.70, 5 Mo 2.63-2.64